# 1
## CaZrCu2 (PBE-GGA)

Data for a geometry-optimized CaZrCu2 structure.

a b c (Å): 7.2821 7.2821 6.7954
angles (deg): 90.00 90.00 90.00
Last column: nearest neighbours and their distance in Å.
Space group I-42d (No. 122)
Asymmetric unit:
Ca (0.0000, 0.0000, 0.0000) [4 per cell]  4 Cu 2.85
Zr (0.0000, 0.0000, 0.5000) [4 per cell]  4 Cu 2.58
Cu (0.2233, 0.2500, 0.6250) [8 per cell]  2 Zr 2.58, 2 Ca 2.85

Density of states at the Fermi level ... 1.679 states/eV/atom

***

# 2
## Ca3Dy (PBE-GGA)

Data for a geometry-optimized Ca3Dy structure.

a b c (Å): 7.5652 7.5652 6.2178
angles (deg): 90.00 90.00 120.00
Last column: nearest neighbours and their distance in Å.
Space group P6_3/mmc (No. 194)
Asymmetric unit:
Ca (0.1704, 0.3409, 0.2500) [6 per cell]  8 Ca 3.70-3.87, 4 Dy 3.77-3.78
Dy (0.3333, 0.6667, 0.7500) [2 per cell]  12 Ca 3.77-3.78

Density of states at the Fermi level ... 1.623 states/eV/atom

***

# 3
## CaDy3 (PBE-GGA)

Data for a geometry-optimized CaDy3 structure.

a b c (Å): 3.6421 11.5834 6.3196
angles (deg): 90.00 90.00 90.00
Last column: nearest neighbours and their distance in Å.
Space group Imm2 (No. 44)
Asymmetric unit:
Ca (0.0000, 0.0000, 0.0000) [2 per cell]  10 Dy 3.51-3.66, 2 Ca 3.64
Dy (0.0000, 0.2406, 0.6620) [4 per cell]  9 Dy 3.49-3.68, 3 Ca 3.51-3.66
Dy (0.0000, 0.5000, 0.9979) [2 per cell]  8 Dy 3.49-3.68, 4 Ca 3.64-3.66

Density of states at the Fermi level ... 1.391 states/eV/atom

***

# 4
## Ca3Dy (PBE-GGA)

Data for a geometry-optimized Ca3Dy structure.

a b c (Å): 8.4565 8.4565 8.4565
angles (deg): 90.00 90.00 90.00
Last column: nearest neighbours and their distance in Å.
Space group Fm-3m (No. 225)
Asymmetric unit:
Ca (0.0000, 0.0000, 0.0000) [4 per cell]  8 Ca 3.66
Ca (0.2500, 0.2500, 0.2500) [8 per cell]  4 Dy 3.66, 4 Ca 3.66
Dy (0.0000, 0.0000, 0.5000) [4 per cell]  8 Ca 3.66

Density of states at the Fermi level ... 1.204 states/eV/atom

***

# 5
## Ca3Dy (PBE-GGA)

Data for a geometry-optimized Ca3Dy structure.

a b c (Å): 5.3812 5.3812 5.3812
angles (deg): 90.00 90.00 90.00
Last column: nearest neighbours and their distance in Å.
Space group Pm-3m (No. 221)
Asymmetric unit:
Ca (0.0000, 0.0000, 0.5000) [3 per cell]  4 Dy 3.81, 8 Ca 3.81
Dy (0.5000, 0.5000, 0.5000) [1 per cell]  12 Ca 3.81

Density of states at the Fermi level ... 1.658 states/eV/atom

***

# 6
## CaDy2 (PBE-GGA)

Data for a geometry-optimized CaDy2 structure.

a b c (Å): 9.5148 9.5148 9.5148
angles (deg): 90.00 90.00 90.00
Last column: nearest neighbours and their distance in Å.
Space group Fd-3m (No. 227, origin choice 2)
Asymmetric unit:
Ca (0.1250, 0.1250, 0.1250) [8 per cell]  12 Dy 3.94, 4 Ca 4.12
Dy (0.0000, 0.0000, 0.5000) [16 per cell]  6 Dy 3.36

Density of states at the Fermi level ... 1.496 states/eV/atom

***

| no. | formation enthalpy at 0 K (eV/atom) |
| --- | --- |
| 1 | 0.411 |
| 2 | 0.130 |
| 3 | 0.082 |
| 4 | 0.128 |
| 5 | 0.146 |
| 6 | 0.179 |